Record 1
{"formula": "Hg3W", "functional": "PBEsol", "state": "optimized geometry", "lattice_angstrom": [[2.8762, 0.0000, 0.0000], [0.0000, 2.8762, 0.0000], [0.0000, 0.0000, 9.4651]], "species": ["Hg", "Hg", "Hg", "W"], "fractional_positions": [[0.0000, 0.0000, 0.7260], [0.0000, 0.0000, 0.2740], [0.5000, 0.5000, 0.0000], [0.5000, 0.5000, 0.5000]], "crystal_system": "tetragonal", "formation_enthalpy_0k_ev_per_fu": 2.27, "de_polymorph_ev_per_atom": 0.000}

Record 2
{"formula": "LiAl2Cd", "functional": "PBEsol", "state": "optimized geometry", "lattice_angstrom": [[-2.4620, -0.9935, -2.2162], [1.2508, -3.2238, 0.0556], [-3.4961, -1.2796, 4.4575]], "species": ["Cd", "Al", "Al", "Li"], "fractional_positions": [[0.0000, 0.0000, 0.5104], [0.0000, 0.0000, 0.0018], [0.5000, 0.5000, 0.2343], [0.5000, 0.5000, 0.7536]], "crystal_system": "tetragonal", "formation_enthalpy_0k_ev_per_fu": -0.16}

Record 3
{"formula": "Rh2C", "functional": "PBEsol", "state": "optimized geometry", "lattice_angstrom": [[-2.6954, -0.5169, -0.2129], [1.5164, -1.3447, 1.8628], [-0.9967, 3.7487, 3.5174]], "species": ["C", "Rh", "Rh"], "fractional_positions": [[0.0000, 0.0000, 0.5000], [0.3333, 0.6667, 0.2429], [0.3333, 0.6667, 0.7571]], "crystal_system": "hexagonal", "formation_enthalpy_0k_ev_per_fu": 1.04, "de_polymorph_ev_per_atom": 0.236}

Record 4
{"formula": "NaVF6", "functional": "PBEsol", "state": "optimized geometry", "lattice_angstrom": [[-2.7561, 0.3377, 5.1815], [-5.5601, -4.6812, -2.6524], [4.8660, -7.5240, 3.0787]], "species": ["Na", "Na", "Na", "Na", "V", "V", "V", "V", "F", "F", "F", "F", "F", "F", "F", "F", "F", "F", "F", "F", "F", "F", "F", "F", "F", "F", "F", "F", "F", "F", "F", "F"], "fractional_positions": [[0.7500, 0.1708, 0.0057], [0.2500, 0.6708, 0.4943], [0.2500, 0.8292, 0.9943], [0.7500, 0.3292, 0.5057], [0.2500, 0.1157, 0.2695], [0.2500, 0.3843, 0.7695], [0.7500, 0.6157, 0.2305], [0.7500, 0.8843, 0.7305], [0.5394, 0.9509, 0.8605], [0.2500, 0.1767, 0.6959], [0.5394, 0.5491, 0.3605], [0.9688, 0.8279, 0.6106], [0.7500, 0.8233, 0.3041], [0.4606, 0.0491, 0.1395], [0.5312, 0.8279, 0.6106], [0.2500, 0.8978, 0.3347], [0.2500, 0.6022, 0.8347], [0.0312, 0.3279, 0.8894], [0.9606, 0.5491, 0.3605], [0.7500, 0.3978, 0.1653], [0.4606, 0.4509, 0.6395], [0.0312, 0.1721, 0.3894], [0.0394, 0.4509, 0.6395], [0.0394, 0.0491, 0.1395], [0.7500, 0.6767, 0.8041], [0.9688, 0.6721, 0.1106], [0.9606, 0.9509, 0.8605], [0.5312, 0.6721, 0.1106], [0.4688, 0.1721, 0.3894], [0.2500, 0.3233, 0.1959], [0.7500, 0.1022, 0.6653], [0.4688, 0.3279, 0.8894]], "crystal_system": "orthorhombic", "e_form_raw_ev_per_atom": -2.816}

Record 5
{"formula": "Cu2SbPt", "functional": "PBEsol", "state": "optimized geometry", "lattice_angstrom": [[-2.4015, 2.4929, 0.0562], [-1.5889, -1.4757, -2.4362], [-2.8361, -2.8122, 3.5533]], "species": ["Cu", "Cu", "Pt", "Sb"], "fractional_positions": [[0.0000, 0.0000, 0.7648], [0.0000, 0.0000, 0.2352], [0.5000, 0.5000, 0.0000], [0.5000, 0.5000, 0.5000]], "crystal_system": "orthorhombic", "e_form_raw_ev_per_atom": -0.020}

Record 6
{"formula": "Mg2C", "functional": "PBEsol", "state": "optimized geometry", "lattice_angstrom": [[5.2781, 0.0000, 0.0000], [2.6390, 4.5709, 0.0000], [2.6390, 1.5236, 4.3095]], "species": ["Mg", "Mg", "Mg", "Mg", "C", "C"], "fractional_positions": [[0.1250, 0.1250, 0.1250], [0.1250, 0.1250, 0.6250], [0.1250, 0.6250, 0.1250], [0.6250, 0.1250, 0.1250], [0.5000, 0.5000, 0.5000], [0.7500, 0.7500, 0.7500]], "crystal_system": "cubic", "formation_enthalpy_0k_ev_per_fu": 5.90, "de_polymorph_ev_per_atom": 1.646}

Record 7
{"formula": "CrAs2Pb", "functional": "PBEsol", "state": "optimized geometry", "lattice_angstrom": [[3.0696, 0.0000, 0.0000], [0.0000, 3.3940, 0.0000], [-1.5348, -1.6970, 7.5826]], "species": ["As", "As", "Cr", "Pb"], "fractional_positions": [[0.0188, 0.0188, 0.0376], [0.8399, 0.3399, 0.6798], [0.4594, 0.4594, 0.9187], [0.1820, 0.6819, 0.3639]], "crystal_system": "orthorhombic", "formation_enthalpy_0k_ev_per_fu": 0.56}

Record 8
{"formula": "K2TlAu", "functional": "PBEsol", "state": "optimized geometry", "lattice_angstrom": [[-3.5743, 2.9821, -1.8941], [1.6255, -3.9421, -2.6069], [-4.4431, -2.0564, 5.1469]], "species": ["Tl", "Au", "K", "K"], "fractional_positions": [[0.5422, 0.0844, 0.6262], [0.2059, 0.4117, 0.6197], [0.9765, 0.9529, 0.9263], [0.7754, 0.5509, 0.3278]], "crystal_system": "monoclinic", "formation_enthalpy_0k_ev_per_fu": -0.50}